Entry 1:
The following is a PBE calculation of an optimized crystal structure of LuBPt, from the Open Quantum Materials Database.

Lattice parameters (Å, degrees): 4.355 4.355 4.355 60.00 60.00 60.00
Sites, in units of the cell vectors:
B1 0.250 0.250 0.250
Lu1 0.000 0.000 0.000
Pt1 0.750 0.750 0.750

Computed properties:
For the theoretical density, the calculation gives 10.829 g/cm3. For the final energy, the calculation gives -15.97 eV/cell.

Entry 2:
The following is a PBE calculation of an optimized crystal structure of NiC, from the Open Quantum Materials Database.

Lattice parameters (Å, degrees): 3.071 3.071 3.071 60.00 60.00 60.00
Sites, in units of the cell vectors:
C1 0.000 0.000 0.000
Ni1 0.250 0.250 0.250

Computed properties:
For the theoretical density, the calculation gives 5.732 g/cm3. For the final energy, the calculation gives -12.87 eV/cell.

Number 1: spin magnetization 0.00 μB per atom. Number 2: spin magnetization 0.00 μB per atom.